No. 1
Hf2ReBiP: optimized geometry, PBE-GGA.

The density of states at the Fermi level is 0.717 states/eV per atom. The total energy is -7.5118 eV per atom. The calculation puts the formation enthalpy at 0 K at 0.817 eV/atom.

It has space group P4/mmm (No. 123), with a = 5.077 Å, b = 5.077 Å, c = 5.101 Å, α = 90.00°, β = 90.00° and γ = 90.00°. The inequivalent atoms are Hf at (0.000, 0.500, 0.000), Re at (0.000, 0.000, 0.000), Bi at (0.000, 0.000, 0.500) and P at (0.500, 0.500, 0.500).



No. 2
HfScBi2P: optimized geometry, PBE-GGA.

The density of states at the Fermi level is 1.014 states/eV per atom. The total energy is -5.0252 eV per atom. The calculation puts the formation enthalpy at 0 K at 0.866 eV/atom.

It has space group P4/mmm (No. 123), with a = 5.518 Å, b = 5.518 Å, c = 5.289 Å, α = 90.00°, β = 90.00° and γ = 90.00°. The inequivalent atoms are Hf at (0.000, 0.000, 0.000), Sc at (0.000, 0.000, 0.500), Bi at (0.000, 0.500, 0.000) and P at (0.500, 0.500, 0.500).



No. 3
HfBiPSe2: optimized geometry, PBE-GGA.

The density of states at the Fermi level is 0.670 states/eV per atom. The total energy is -4.7538 eV per atom. The uncorrected formation energy is 11.27 kcal/mol of atoms.

It has space group P4/mmm (No. 123), with a = 4.829 Å, b = 4.829 Å, c = 5.240 Å, α = 90.00°, β = 90.00° and γ = 90.00°. The inequivalent atoms are Hf at (0.000, 0.000, 0.000), Bi at (0.500, 0.500, 0.000), P at (0.500, 0.500, 0.500) and Se at (0.000, 0.500, 0.500).



No. 4
HfVBiP2: optimized geometry, PBE-GGA.

The density of states at the Fermi level is 0.836 states/eV per atom. The total energy is -6.3538 eV per atom. The calculation puts the formation enthalpy at 0 K at 0.401 eV/atom.

It has space group P4/mmm (No. 123), with a = 4.437 Å, b = 4.437 Å, c = 5.569 Å, α = 90.00°, β = 90.00° and γ = 90.00°. The inequivalent atoms are Hf at (0.000, 0.000, 0.000), V at (0.500, 0.500, 0.500), Bi at (0.500, 0.500, 0.000) and P at (0.000, 0.500, 0.500).



No. 5
HfPaBi: optimized geometry, PBE-GGA.

The density of states at the Fermi level is 1.464 states/eV per atom. The total energy is -7.7383 eV per atom. As for the energy relative to the lowest polymorph listed for this composition: 0.000 eV per formula unit. The calculation puts the formation enthalpy at 0 K at 0.038 eV/atom.

It has space group Pmn2_1 (No. 31), with a = 3.245 Å, b = 14.693 Å, c = 3.245 Å, α = 90.00°, β = 90.00° and γ = 90.00°. The inequivalent atoms are Hf at (0.000, 0.071, 0.000), Pa at (0.000, 0.418, 0.993) and Bi at (0.000, 0.765, 0.998).



No. 6
HfPaBi3: optimized geometry, PBE-GGA.

The density of states at the Fermi level is 0.941 states/eV per atom. The total energy is -6.2306 eV per atom. The calculation puts the formation enthalpy at 0 K at -0.012 eV/atom.

It has space group Cmcm (No. 63), with a = 5.957 Å, b = 14.919 Å, c = 6.494 Å, α = 90.00°, β = 90.00° and γ = 90.00°. The inequivalent atoms are Hf at (0.000, 0.003, 0.250), Pa at (0.000, 0.365, 0.750), Bi at (0.000, 0.174, 0.003) and Bi at (0.000, 0.422, 0.250).



No. 7
HfPa2Bi: optimized geometry, PBE-GGA.

The density of states at the Fermi level is 2.071 states/eV per atom. The total energy is -8.2249 eV per atom. As for the energy relative to the lowest polymorph listed for this composition: 0.000 eV per formula unit. The calculation puts the formation enthalpy at 0 K at -0.018 eV/atom.

It has space group P4/mmm (No. 123), with a = 4.478 Å, b = 4.478 Å, c = 4.922 Å, α = 90.00°, β = 90.00° and γ = 90.00°. The inequivalent atoms are Hf at (0.000, 0.000, 0.000), Pa at (0.000, 0.500, 0.500) and Bi at (0.500, 0.500, 0.000).



No. 8
HfPa2Bi: optimized geometry, PBE-GGA.

The density of states at the Fermi level is 2.251 states/eV per atom. The total energy is -8.0595 eV per atom. As for the energy relative to the lowest polymorph listed for this composition: 0.661 eV per formula unit. The calculation puts the formation enthalpy at 0 K at 0.147 eV/atom.

It has space group P4/mmm (No. 123), with a = 4.101 Å, b = 4.101 Å, c = 6.308 Å, α = 90.00°, β = 90.00° and γ = 90.00°. The inequivalent atoms are Hf at (0.000, 0.000, 0.000), Pa at (0.500, 0.500, 0.277) and Bi at (0.000, 0.000, 0.500).



No. 9
HfPaBi: optimized geometry, PBE-GGA.

The density of states at the Fermi level is 2.275 states/eV per atom. The total energy is -7.6121 eV per atom. As for the energy relative to the lowest polymorph listed for this composition: 0.379 eV per formula unit. The calculation puts the formation enthalpy at 0 K at 0.165 eV/atom.

It has space group P-6m2 (No. 187), with a = 5.2419 Å, b = 5.2419 Å, c = 3.2653 Å, α = 90.00°, β = 90.00° and γ = 120.00°. The inequivalent atoms are Hf at (0.0000, 0.0000, 0.0000), Pa at (0.3333, 0.6667, 0.5000) and Bi at (0.6667, 0.3333, 0.0000).



No. 10
HfPaBi: optimized geometry, PBE-GGA.

The density of states at the Fermi level is 1.567 states/eV per atom. The total energy is -7.6573 eV per atom. As for the energy relative to the lowest polymorph listed for this composition: 0.243 eV per formula unit. The calculation puts the formation enthalpy at 0 K at 0.119 eV/atom.

It has space group R-3m (No. 166, hexagonal axes), with a = 5.1574 Å, b = 5.1574 Å, c = 21.5321 Å, α = 90.00°, β = 90.00° and γ = 120.00°. The inequivalent atoms are Hf at (0.0000, 0.0000, 0.0680), Pa at (0.0000, 0.0000, 0.3607) and Bi at (0.0000, 0.0000, 0.2155).



No. 11
HfPaBi: optimized geometry, PBE-GGA.

The density of states at the Fermi level is 1.281 states/eV per atom. The total energy is -7.7029 eV per atom. As for the energy relative to the lowest polymorph listed for this composition: 0.106 eV per formula unit. The calculation puts the formation enthalpy at 0 K at 0.074 eV/atom.

It has space group I4mm (No. 107), with a = 3.689 Å, b = 3.689 Å, c = 11.500 Å, α = 90.00°, β = 90.00° and γ = 90.00°. The inequivalent atoms are Hf at (0.000, 0.000, 0.000), Pa at (0.000, 0.000, 0.674) and Bi at (0.000, 0.000, 0.364).



No. 12
HfPaBi: optimized geometry, PBE-GGA.

The density of states at the Fermi level is 1.667 states/eV per atom. The total energy is -7.6384 eV per atom. As for the energy relative to the lowest polymorph listed for this composition: 0.300 eV per formula unit. The calculation puts the formation enthalpy at 0 K at 0.138 eV/atom.

It has space group P2_1/m (No. 11), with a = 5.903 Å, b = 3.277 Å, c = 8.440 Å, α = 90.00°, β = 103.88° and γ = 90.00°. The inequivalent atoms are Hf at (0.147, 0.250, 0.138), Pa at (0.339, 0.250, 0.818) and Bi at (0.235, 0.750, 0.456).



No. 13
Hf2PaBi2: optimized geometry, PBE-GGA.

The density of states at the Fermi level is 1.103 states/eV per atom. The total energy is -7.3007 eV per atom. The calculation puts the formation enthalpy at 0 K at 0.132 eV/atom.

It has space group C2/c (No. 15), with a = 9.803 Å, b = 12.145 Å, c = 5.731 Å, α = 90.00°, β = 125.36° and γ = 90.00°. The inequivalent atoms are Hf at (0.187, 0.071, 0.440), Pa at (0.000, 0.424, 0.750), Bi at (0.000, 0.144, 0.750) and Bi at (0.000, 0.298, 0.250).